No. 1
DFT (PBE-GGA) results for Dy3Y2Al3 after structural relaxation.

Cell lengths 4.792, 4.802, 8.813 Å; angles 90.00, 90.00, 90.00 degrees
Space group Pmmm (No. 47)
One atom of each set of equivalent atoms:
Dy1 0.000 0.000 0.000
Dy2 0.500 0.000 0.272
Y1 0.000 0.500 0.274
Al1 0.000 0.000 0.500
Al2 0.500 0.500 0.000
Al3 0.500 0.500 0.500

Calculated values
ΔH_f (0 K) = -0.28 eV/atom
energy above the lowest structure with this stoichiometry = 18 meV/atom


No. 2
DFT (PBE-GGA) results for PuGeAs after structural relaxation.

Cell lengths 3.866, 15.608, 4.544 Å; angles 90.00, 90.00, 90.00 degrees
Space group Cmcm (No. 63)
One atom of each set of equivalent atoms:
Pu1 0.000 0.132 0.250
Ge1 0.000 0.473 0.250
As1 0.000 0.320 0.250

Calculated values
ΔH_f (0 K) = -0.47 eV/atom
energy above the lowest structure with this stoichiometry = 0 meV/atom


No. 3
DFT (PBE-GGA) results for Th2ScFe after structural relaxation.

Cell lengths 3.6849, 3.6849, 29.1530 Å; angles 90.00, 90.00, 120.00 degrees
Space group R-3m (No. 166, hexagonal axes)
One atom of each set of equivalent atoms:
Th1 0.0000 0.0000 0.1118
Sc1 0.0000 0.0000 0.0000
Fe1 0.0000 0.0000 0.5000

Calculated values
ΔH_f (0 K) = 0.34 eV/atom
energy above the lowest structure with this stoichiometry = 382 meV/atom


No. 4
DFT (PBE-GGA) results for CaCdNiHg2 after structural relaxation.

Cell lengths 5.031, 5.031, 4.953 Å; angles 90.00, 90.00, 90.00 degrees
Space group P4/mmm (No. 123)
One atom of each set of equivalent atoms:
Ca1 0.000 0.000 0.000
Cd1 0.500 0.500 0.000
Ni1 0.500 0.500 0.500
Hg1 0.000 0.500 0.500

Calculated values
ΔH_f (0 K) = -0.11 eV/atom
energy above the lowest structure with this stoichiometry = 0 meV/atom


No. 5
DFT (PBE-GGA) results for CsGaHgSb after structural relaxation.

Cell lengths 4.914, 4.914, 12.819 Å; angles 90.00, 90.00, 90.00 degrees
Space group P4/nmm (No. 129, origin choice 2)
One atom of each set of equivalent atoms:
Cs1 0.250 0.250 0.248
Ga1 0.250 0.750 0.500
Hg1 0.250 0.750 0.000
Sb1 0.250 0.250 0.612

Calculated values
energy relative to the elements, uncorrected = -0.293 eV per atom


No. 6
DFT (PBE-GGA) results for TbSbPb2O6 after structural relaxation.

Cell lengths 5.932, 5.945, 10.282 Å; angles 90.00, 125.19, 90.00 degrees
Space group P2_1/c (No. 14)
One atom of each set of equivalent atoms:
Tb1 0.000 0.000 0.000
Sb1 0.500 0.000 0.500
Pb1 0.259 0.025 0.753
O1 0.191 0.013 0.265
O2 0.270 0.700 0.040
O3 0.343 0.225 0.036

Calculated values
energy relative to the elements, uncorrected = -1.875 eV per atom


No. 7
DFT (PBE-GGA) results for Tl2PtF after structural relaxation.

Cell lengths 6.829, 6.829, 6.829 Å; angles 90.00, 90.00, 90.00 degrees
Space group Fm-3m (No. 225)
One atom of each set of equivalent atoms:
Tl1 0.250 0.250 0.250
Pt1 0.000 0.000 0.000
F1 0.000 0.000 0.500

Calculated values
energy above the lowest structure with this stoichiometry = 0 meV/atom
energy relative to the elements, uncorrected = -0.602 eV per atom


No. 8
DFT (PBE-GGA) results for TlPtAuO2 after structural relaxation.

Cell lengths 3.879, 3.879, 6.383 Å; angles 90.00, 90.00, 90.00 degrees
Space group P4/mmm (No. 123)
One atom of each set of equivalent atoms:
Tl1 0.000 0.000 0.000
Pt1 0.000 0.000 0.500
Au1 0.500 0.500 0.000
O1 0.000 0.500 0.500

Calculated values
energy relative to the elements, uncorrected = 0.040 eV per atom


No. 9
DFT (PBE-GGA) results for Na4Pa3Te8 after structural relaxation.

Cell lengths 8.9248, 8.9248, 24.5518 Å; angles 90.00, 90.00, 120.00 degrees
Space group R-3m (No. 166, hexagonal axes)
One atom of each set of equivalent atoms:
Na1 0.0000 0.0000 0.0000
Na2 0.0000 0.0000 0.1390
Na3 0.0000 0.0000 0.5000
Pa1 0.0000 0.5000 0.0000
Te1 0.0000 0.0000 0.2630
Te2 0.0168 0.5084 0.2607

Calculated values
energy above the lowest structure with this stoichiometry = 0 meV/atom
energy relative to the elements, uncorrected = -0.864 eV per atom


No. 10
DFT (PBE-GGA) results for Be2SiTe after structural relaxation.

Cell lengths 5.611, 5.611, 9.978 Å; angles 90.00, 90.00, 90.00 degrees
Space group I-42d (No. 122)
One atom of each set of equivalent atoms:
Be1 0.232 0.250 0.125
Si1 0.000 0.000 0.000
Te1 0.000 0.000 0.500

Calculated values
energy above the lowest structure with this stoichiometry = 111 meV/atom
energy relative to the elements, uncorrected = 0.361 eV per atom


No. 11
DFT (PBE-GGA) results for BaHg2Mo after structural relaxation.

Cell lengths 3.2842, 3.2842, 31.3421 Å; angles 90.00, 90.00, 120.00 degrees
Space group R-3m (No. 166, hexagonal axes)
One atom of each set of equivalent atoms:
Ba1 0.0000 0.0000 0.0000
Hg1 0.0000 0.0000 0.2380
Mo1 0.0000 0.0000 0.5000

Calculated values
ΔH_f (0 K) = 0.66 eV/atom
energy above the lowest structure with this stoichiometry = 293 meV/atom


No. 12
DFT (PBE-GGA) results for Cr2AgSe after structural relaxation.

Cell lengths 9.937, 3.063, 5.021 Å; angles 90.00, 119.74, 90.00 degrees
Space group C2/m (No. 12)
One atom of each set of equivalent atoms:
Cr1 0.228 0.000 0.328
Ag1 0.000 0.000 0.500
Se1 0.000 0.500 0.000

Calculated values
energy relative to the elements, uncorrected = 0.551 eV per atom


No. 13
DFT (PBE-GGA) results for CoPt14Rh after structural relaxation.

Cell lengths 9.219, 5.560, 9.621 Å; angles 90.00, 90.00, 90.00 degrees
Space group Amm2 (No. 38)
One atom of each set of equivalent atoms:
Co1 0.000 0.000 0.000
Pt1 0.000 0.249 0.251
Pt2 0.242 0.248 0.082
Pt3 0.244 0.000 0.835
Pt4 0.248 0.000 0.334
Pt5 0.500 0.000 0.166
Pt6 0.500 0.000 0.666
Pt7 0.500 0.250 0.417
Rh1 0.000 0.000 0.499

Calculated values
ΔH_f (0 K) = 0.00 eV/atom


No. 14
DFT (PBE-GGA) results for AgSb4Pt after structural relaxation.

Cell lengths 6.704, 6.672, 6.673 Å; angles 90.00, 90.16, 90.00 degrees
Space group P2_1/c (No. 14)
One atom of each set of equivalent atoms:
Ag1 0.000 0.000 0.000
Sb1 0.135 0.121 0.618
Sb2 0.384 0.629 0.630
Pt1 0.500 0.000 0.500

Calculated values
energy above the lowest structure with this stoichiometry = 0 meV/atom
energy relative to the elements, uncorrected = -0.166 eV per atom


No. 15
DFT (PBE-GGA) results for La2Pr6In after structural relaxation.

Cell lengths 10.222, 10.766, 5.749 Å; angles 90.00, 90.00, 90.00 degrees
Space group Pnnm (No. 58)
One atom of each set of equivalent atoms:
La1 0.188 0.250 0.000
Pr1 0.015 0.188 0.500
Pr2 0.140 0.602 0.000
Pr3 0.183 0.927 0.000
In1 0.000 0.500 0.500

Calculated values
ΔH_f (0 K) = -0.05 eV/atom
energy above the lowest structure with this stoichiometry = 5 meV/atom


No. 16
DFT (PBE-GGA) results for Cs2TlSbCl6 after structural relaxation.

Cell lengths 7.928, 8.207, 13.873 Å; angles 90.00, 124.78, 90.00 degrees
Space group P2_1/c (No. 14)
One atom of each set of equivalent atoms:
Cs1 0.235 0.056 0.250
Tl1 0.500 0.000 0.000
Sb1 0.000 0.000 0.500
Cl1 0.145 0.230 0.962
Cl2 0.237 0.686 0.964
Cl3 0.301 0.017 0.729

Calculated values
energy above the lowest structure with this stoichiometry = 0 meV/atom
energy relative to the elements, uncorrected = -1.407 eV per atom


No. 17
DFT (PBE-GGA) results for ReAg2Pb after structural relaxation.

Cell lengths 2.868, 4.852, 5.476 Å; angles 90.00, 90.00, 90.00 degrees
Space group Pmm2 (No. 25)
One atom of each set of equivalent atoms:
Re1 0.000 0.000 0.000
Ag1 0.500 0.000 0.529
Ag2 0.500 0.500 0.808
Pb1 0.000 0.500 0.290

Calculated values
ΔH_f (0 K) = 0.76 eV/atom


No. 18
DFT (PBE-GGA) results for KRb2LiI6 after structural relaxation.

Cell lengths 12.378, 12.378, 12.378 Å; angles 90.00, 90.00, 90.00 degrees
Space group Fm-3m (No. 225)
One atom of each set of equivalent atoms:
K1 0.000 0.000 0.000
Rb1 0.250 0.250 0.250
Li1 0.000 0.000 0.500
I1 0.000 0.000 0.269

Calculated values
energy relative to the elements, uncorrected = -0.917 eV per atom


No. 19
DFT (PBE-GGA) results for Tm2ScRu3 after structural relaxation.

Cell lengths 4.670, 14.012, 6.641 Å; angles 90.00, 90.00, 90.00 degrees
Space group Cmmm (No. 65)
One atom of each set of equivalent atoms:
Tm1 0.000 0.000 0.000
Tm2 0.000 0.000 0.500
Tm3 0.000 0.333 0.000
Sc1 0.000 0.331 0.500
Ru1 0.000 0.169 0.258
Ru2 0.000 0.500 0.255

Calculated values
ΔH_f (0 K) = -0.45 eV/atom
energy above the lowest structure with this stoichiometry = 3 meV/atom


No. 20
DFT (PBE-GGA) results for PrNd2SmEr2 after structural relaxation.

Cell lengths 6.589, 18.337, 3.425 Å; angles 90.00, 90.00, 90.00 degrees
Space group Pnnm (No. 58)
One atom of each set of equivalent atoms:
Pr1 0.000 0.000 0.000
Nd1 0.218 0.189 0.000
Sm1 0.000 0.500 0.000
Er1 0.216 0.353 0.500

Calculated values
ΔH_f (0 K) = 0.26 eV/atom


No. 21
DFT (PBE-GGA) results for AlHgO2 after structural relaxation.

Cell lengths 5.824, 5.824, 5.824 Å; angles 90.00, 90.00, 90.00 degrees
Space group Fm-3m (No. 225)
One atom of each set of equivalent atoms:
Al1 0.000 0.000 0.000
Hg1 0.000 0.000 0.500
O1 0.250 0.250 0.250

Calculated values
energy above the lowest structure with this stoichiometry = 1583 meV/atom
energy relative to the elements, uncorrected = -0.228 eV per atom


No. 22
DFT (PBE-GGA) results for Cs2GaPb2 after structural relaxation.

Cell lengths 11.284, 11.284, 3.650 Å; angles 90.00, 90.00, 90.00 degrees
Space group P4/mbm (No. 127)
One atom of each set of equivalent atoms:
Cs1 0.201 0.299 0.000
Ga1 0.000 0.000 0.500
Pb1 0.094 0.594 0.500

Calculated values
ΔH_f (0 K) = 0.23 eV/atom
energy above the lowest structure with this stoichiometry = 283 meV/atom


No. 23
DFT (PBE-GGA) results for Ac2Si3GeIr4 after structural relaxation.

Cell lengths 4.304, 4.304, 10.202 Å; angles 90.00, 90.00, 90.00 degrees
Space group P-4m2 (No. 115)
One atom of each set of equivalent atoms:
Ac1 0.000 0.500 0.245
Si1 0.000 0.000 0.000
Si2 0.000 0.500 0.625
Ge1 0.500 0.500 0.000
Ir1 0.000 0.000 0.500
Ir2 0.000 0.500 0.871
Ir3 0.500 0.500 0.500

Calculated values
energy relative to the elements, uncorrected = -0.885 eV per atom